DFT (PBE) results for an optimized crystal structure of La8TbHo2.

a b c (Å): 5.225 8.238 9.710
angles (deg): 104.74 105.61 90.00
Fractional coordinates of all 11 atoms:
Ho1 0.773 0.366 0.547
La1 0.408 0.546 0.816
La2 0.318 0.088 0.636
La3 0.138 0.186 0.275
Tb1 0.500 0.000 0.000
La4 0.047 0.727 0.094
La5 0.862 0.814 0.725
La6 0.592 0.454 0.184
La7 0.682 0.912 0.364
La8 0.953 0.273 0.906
Ho2 0.227 0.634 0.453

Values from the calculation:
**ΔH_f (0 K)**: 0.0216 eV/atom
**Magnetization**: 0.00 μB/f.u.
**Polymorph energy (0 for the lowest one)**: 0.000 eV per atom

DFT (PBE) results for an optimized crystal structure of Pm2Y5.

a b c (Å): 3.406 11.816 11.816
angles (deg): 90.00 90.00 90.00
Fractional coordinates of all 14 atoms:
Pm1 0.500 0.309 0.809
Pm2 0.500 0.691 0.191
Pm3 0.500 0.191 0.309
Y1 0.000 0.046 0.799
Y2 0.000 0.799 0.954
Y3 0.000 0.954 0.201
Y4 0.000 0.701 0.454
Pm4 0.500 0.809 0.691
Y5 0.000 0.546 0.701
Y6 0.000 0.000 0.500
Y7 0.000 0.201 0.046
Y8 0.000 0.299 0.546
Y9 0.000 0.500 0.000
Y10 0.000 0.454 0.299

Values from the calculation:
**ΔH_f (0 K)**: 0.2480 eV/atom
**Magnetization**: 0.00 μB/f.u.
**Polymorph energy (0 for the lowest one)**: 0.241 eV per atom

DFT (PBE) results for an optimized crystal structure of Tl2PtI4.

a b c (Å): 5.674 5.674 9.343
angles (deg): 72.32 72.32 90.00
Fractional coordinates of all 7 atoms:
I1 0.500 0.000 0.000
I2 0.840 0.840 0.319
I3 0.000 0.500 0.000
I4 0.160 0.160 0.681
Tl1 0.631 0.631 0.738
Tl2 0.369 0.369 0.262
Pt1 0.000 0.000 0.000

Values from the calculation:
**ΔE_f (raw)**: -384 meV per atom
**Magnetization**: 0.00 μB/f.u.